(1)
Entry from Alexandria: a relaxed structure of Pm2Pr4DySc (GGA-PBE).

DFT formation energy: 29 meV per atom
DFT total energy: -4.92 eV per atom
DOS(E_F): 11.12 states/eV per cell
Calculated density: 6.57 g cm⁻³
Calculated volume: 33.54 Å³ per atom

Unit cell a=5.160 b=5.134 c=11.359 alpha=63.09 beta=90.00 gamma=90.00
Fractional positions:
1 Pm 0.000 0.000 0.000
2 Pm 0.500 0.000 0.500
3 Pr 0.000 0.755 0.745
4 Pr 0.000 0.245 0.255
5 Pr 0.500 0.746 0.254
6 Pr 0.500 0.254 0.746
7 Dy 0.500 0.500 0.000
8 Sc 0.000 0.500 0.500

***

(2)
Entry from Alexandria: a relaxed structure of PmPrDySc (GGA-PBE).

DFT formation energy: 103 meV per atom
DFT total energy: -5.01 eV per atom
DOS(E_F): 6.52 states/eV per cell
Calculated density: 6.48 g cm⁻³
Energy above the most stable polymorph in this dataset: 0 meV/atom
Calculated volume: 31.61 Å³ per atom

Unit cell a=5.634 b=5.634 c=5.634 alpha=60.00 beta=60.00 gamma=60.00
Fractional positions:
1 Pr 0.750 0.750 0.750
2 Sc 0.000 0.000 0.000
3 Pm 0.250 0.250 0.250
4 Dy 0.500 0.500 0.500

***

(3)
Entry from Alexandria: a relaxed structure of PmPrDy5Sc2 (GGA-PBE).

DFT formation energy: 171 meV per atom
DFT total energy: -4.85 eV per atom
DOS(E_F): 25.94 states/eV per cell
Calculated density: 6.95 g cm⁻³
Calculated volume: 31.54 Å³ per atom

Unit cell a=5.613 b=11.139 c=9.382 alpha=90.00 beta=90.00 gamma=104.59
Fractional positions:
1 Pm 0.812 0.623 0.521
2 Pm 0.188 0.377 0.021
3 Pr 0.596 0.193 0.914
4 Pr 0.404 0.807 0.414
5 Dy 0.391 0.781 0.042
6 Dy 0.735 0.470 0.835
7 Dy 0.468 0.937 0.748
8 Dy 0.308 0.616 0.721
9 Dy 0.994 0.988 0.525
10 Dy 0.609 0.219 0.542
11 Dy 0.265 0.530 0.335
12 Dy 0.532 0.063 0.248
13 Dy 0.692 0.384 0.221
14 Dy 0.006 0.012 0.025
15 Sc 0.887 0.774 0.826
16 Sc 0.145 0.290 0.692
17 Sc 0.113 0.226 0.326
18 Sc 0.855 0.710 0.192

***

(4)
Entry from Alexandria: a relaxed structure of Pm2PrDySc (GGA-PBE).

DFT formation energy: 337 meV per atom
DFT total energy: -4.71 eV per atom
DOS(E_F): 12.77 states/eV per cell
Calculated density: 6.21 g cm⁻³
Calculated volume: 34.14 Å³ per atom

Unit cell a=7.187 b=8.275 c=7.075 alpha=125.79 beta=90.00 gamma=90.00
Fractional positions:
1 Pm 0.500 0.301 0.000
2 Pm 0.000 0.699 0.000
3 Pm 0.500 0.699 0.000
4 Pm 0.000 0.301 0.000
5 Pr 0.250 0.728 0.455
6 Pr 0.750 0.272 0.545
7 Dy 0.750 0.742 0.484
8 Dy 0.250 0.258 0.516
9 Sc 0.250 0.989 0.978
10 Sc 0.750 0.011 0.022